Below is YRh after structural relaxation, with properties calculated at the PBE-GGA level.

abc: 5.518 5.518 5.518
angles: 90.00 90.00 90.00
Positions (direct):
1 Y 0.078 0.078 0.078
2 Y 0.422 0.922 0.578
3 Y 0.578 0.422 0.922
4 Y 0.922 0.578 0.422
5 Rh 0.085 0.585 0.915
6 Rh 0.415 0.415 0.415
7 Rh 0.585 0.915 0.085
8 Rh 0.915 0.085 0.585

Calculated values
- Energy of formation from the pure elements: -667 meV/atom
- Calculated volume: 168.0 Å³ per cell

Below is YRh3 after structural relaxation, with properties calculated at the PBE-GGA level.

abc: 2.964 4.626 5.125
angles: 90.00 101.81 90.00
Positions (direct):
1 Y 0.000 0.000 0.000
2 Rh 0.348 0.500 0.726
3 Rh 0.500 0.000 0.500
4 Rh 0.652 0.500 0.274

Calculated values
- Energy of formation from the pure elements: -219 meV/atom
- Calculated volume: 68.8 Å³ per cell

Below is Y5Rh3 after structural relaxation, with properties calculated at the PBE-GGA level.

abc: 10.954 10.954 6.378
angles: 90.00 90.00 90.00
Positions (direct):
1 Y 0.041 0.161 0.120
2 Y 0.041 0.339 0.620
3 Y 0.161 0.041 0.620
4 Y 0.161 0.459 0.120
5 Y 0.250 0.750 0.000
6 Y 0.250 0.750 0.500
7 Y 0.339 0.041 0.120
8 Y 0.339 0.459 0.620
9 Y 0.459 0.161 0.620
10 Y 0.459 0.339 0.120
11 Y 0.541 0.661 0.880
12 Y 0.541 0.839 0.380
13 Y 0.661 0.541 0.380
14 Y 0.661 0.959 0.880
15 Y 0.750 0.250 0.000
16 Y 0.750 0.250 0.500
17 Y 0.839 0.541 0.880
18 Y 0.839 0.959 0.380
19 Y 0.959 0.661 0.380
20 Y 0.959 0.839 0.880
21 Rh 0.096 0.596 0.750
22 Rh 0.096 0.904 0.250
23 Rh 0.250 0.250 0.373
24 Rh 0.250 0.250 0.873
25 Rh 0.404 0.596 0.250
26 Rh 0.404 0.904 0.750
27 Rh 0.596 0.096 0.250
28 Rh 0.596 0.404 0.750
29 Rh 0.750 0.750 0.127
30 Rh 0.750 0.750 0.627
31 Rh 0.904 0.096 0.750
32 Rh 0.904 0.404 0.250

Calculated values
- Energy of formation from the pure elements: -723 meV/atom
- Calculated volume: 765.2 Å³ per cell
- ΔE to the lowest computed polymorph: 0.0 kJ per mole of atoms

Below is Y5Rh after structural relaxation, with properties calculated at the PBE-GGA level.

abc: 12.044 3.645 8.340
angles: 90.00 110.57 90.00
Positions (direct):
1 Y 0.000 0.000 0.000
2 Y 0.130 0.500 0.374
3 Y 0.171 0.500 0.799
4 Y 0.329 0.000 0.201
5 Y 0.370 0.000 0.626
6 Y 0.500 0.500 0.000
7 Y 0.630 0.000 0.374
8 Y 0.671 0.000 0.799
9 Y 0.829 0.500 0.201
10 Y 0.870 0.500 0.626
11 Rh 0.000 0.000 0.500
12 Rh 0.500 0.500 0.500

Calculated values
- Energy of formation from the pure elements: -272 meV/atom
- Calculated volume: 342.8 Å³ per cell

Below is YRh3 after structural relaxation, with properties calculated at the PBE-GGA level.

abc: 3.054 3.054 8.562
angles: 90.00 90.00 120.00
Positions (direct):
1 Y 0.000 0.000 0.000
2 Rh 0.000 0.000 0.500
3 Rh 0.667 0.333 0.266
4 Rh 0.667 0.333 0.734

Calculated values
- Energy of formation from the pure elements: 118 meV/atom
- Calculated volume: 69.2 Å³ per cell

Below is YRh5 after structural relaxation, with properties calculated at the PBE-GGA level.

abc: 5.209 5.209 5.209
angles: 60.00 60.00 60.00
Positions (direct):
1 Y 0.000 0.000 0.000
2 Rh 0.127 0.624 0.624
3 Rh 0.250 0.250 0.250
4 Rh 0.624 0.127 0.624
5 Rh 0.624 0.624 0.127
6 Rh 0.624 0.624 0.624

Calculated values
- Energy of formation from the pure elements: -178 meV/atom
- Calculated volume: 100.0 Å³ per cell

Below is YRh after structural relaxation, with properties calculated at the PBE-GGA level.

abc: 7.603 7.603 7.603
angles: 90.00 90.00 90.00
Positions (direct):
1 Y 0.000 0.250 0.500
2 Y 0.000 0.750 0.500
3 Y 0.250 0.500 0.000
4 Y 0.500 0.000 0.250
5 Y 0.500 0.000 0.750
6 Y 0.750 0.500 0.000
7 Rh 0.000 0.500 0.250
8 Rh 0.000 0.500 0.750
9 Rh 0.250 0.000 0.500
10 Rh 0.500 0.250 0.000
11 Rh 0.500 0.750 0.000
12 Rh 0.750 0.000 0.500

Calculated values
- Energy of formation from the pure elements: 234 meV/atom
- Calculated volume: 439.5 Å³ per cell

Below is YRh2 after structural relaxation, with properties calculated at the PBE-GGA level.

abc: 3.745 3.745 4.417
angles: 90.00 90.00 90.00
Positions (direct):
1 Y 0.000 0.000 0.000
2 Rh 0.000 0.500 0.500
3 Rh 0.500 0.000 0.500

Calculated values
- Energy of formation from the pure elements: -256 meV/atom
- Calculated volume: 62.0 Å³ per cell